A plane-wave DFT calculation with PBE was carried out for crystalline Sc3B7W at its relaxed geometry.

Cell and atoms, written as CIF:
```
data_Sc3B7W
_chemical_formula_sum 'Sc12 B28 W4'
_cell_length_a 3.317
_cell_length_b 15.133
_cell_length_c 9.188
_cell_angle_alpha 90.00
_cell_angle_beta 90.00
_cell_angle_gamma 90.00
_space_group_name_H-M_alt 'C m c m'
_space_group_IT_number 63
_space_group_name_Hall '-C 2c 2'
loop_
_atom_site_label
_atom_site_type_symbol
_atom_site_fract_x
_atom_site_fract_y
_atom_site_fract_z
Sc1 Sc 0.000 0.108 0.056
Sc2 Sc 0.000 0.246 0.750
B1 B 0.000 0.271 0.032
B2 B 0.000 0.364 0.147
B3 B 0.000 0.444 0.750
B4 B 0.000 0.484 0.090
W1 W 0.000 0.051 0.750
```

Properties
Fermi-level density of states	0.9	states/eV/f.u.
V	10.48	A^3/atom
formation energy from the elements	-0.726	eV per atom
total moment	0.0	μB/f.u.

=====

A plane-wave DFT calculation with PBE was carried out for crystalline MnAlP at its relaxed geometry.

Cell and atoms, written as CIF:
```
data_MnAlP
_chemical_formula_sum 'Mn4 Al4 P4'
_cell_length_a 5.603
_cell_length_b 5.603
_cell_length_c 5.603
_cell_angle_alpha 90.00
_cell_angle_beta 90.00
_cell_angle_gamma 90.00
_space_group_name_H-M_alt 'F -4 3 m'
_space_group_IT_number 216
_space_group_name_Hall 'F -4 2 3'
loop_
_atom_site_label
_atom_site_type_symbol
_atom_site_fract_x
_atom_site_fract_y
_atom_site_fract_z
Mn1 Mn 0.000 0.000 0.000
Al1 Al 0.250 0.250 0.750
P1 P 0.250 0.250 0.250
```

Properties
Fermi-level density of states	2.5	states/eV/f.u.
V	14.66	A^3/atom
formation energy from the elements	-0.080	eV per atom
total moment	2.2	μB/f.u.